Material: LaAu2Br
Method: DFT, meta-GGA SCAN
State: single point on PBEsol structure Values from VASP.

Quantum ESPRESSO input file:
```
&SYSTEM
  ibrav = 0, nat = 4, ntyp = 3
/
ATOMIC_SPECIES
La 138.91 La.upf
Au 196.97 Au.upf
Br 79.90 Br.upf
CELL_PARAMETERS angstrom
0.000 3.615 3.615
3.615 0.000 3.615
3.615 3.615 0.000
ATOMIC_POSITIONS crystal
La 0.000 0.000 0.000
Au 0.250 0.250 0.250
Au 0.750 0.750 0.750
Br 0.500 0.500 0.500
```

## Properties
The total DFT energy (no corrections) is -204.176 eV per cell. Its distance to the lowest polymorph of the same formula is 0.052 eV/atom. Its mass density is 10.8 Mg/m³. As for the energy relative to the elements, uncorrected: -0.82 eV per atom. For the magnetization, the calculation gives 0.0 μB/f.u. As for the space-group type: No. 225.


Material: LaMg2AuBr
Method: DFT, meta-GGA SCAN
State: single point on PBEsol structure Values from VASP.

Quantum ESPRESSO input file:
```
&SYSTEM
  ibrav = 0, nat = 5, ntyp = 4
/
ATOMIC_SPECIES
La 138.91 La.upf
Mg 24.30 Mg.upf
Au 196.97 Au.upf
Br 79.90 Br.upf
CELL_PARAMETERS angstrom
6.463 0.000 0.000
0.000 6.463 0.000
0.000 0.000 5.391
ATOMIC_POSITIONS crystal
La 0.000 0.000 0.000
Mg 0.000 0.500 0.000
Mg 0.500 0.000 0.000
Au 0.000 0.000 0.500
Br 0.500 0.500 0.500
```

## Properties
The total DFT energy (no corrections) is -139.218 eV per cell. Its mass density is 3.4 Mg/m³. As for the energy relative to the elements, uncorrected: 0.49 eV per atom. For the magnetization, the calculation gives 0.8 μB/f.u. As for the space-group type: No. 123.


Material: LaAuSeBr2
Method: DFT, meta-GGA SCAN
State: single point on PBEsol structure Values from VASP.

Quantum ESPRESSO input file:
```
&SYSTEM
  ibrav = 0, nat = 5, ntyp = 4
/
ATOMIC_SPECIES
La 138.91 La.upf
Au 196.97 Au.upf
Se 78.96 Se.upf
Br 79.90 Br.upf
CELL_PARAMETERS angstrom
5.638 0.000 0.000
0.000 5.638 0.000
0.000 0.000 5.843
ATOMIC_POSITIONS crystal
La 0.000 0.000 0.000
Au 0.500 0.500 0.500
Se 0.000 0.000 0.500
Br 0.000 0.500 0.000
Br 0.500 0.000 0.000
```

## Properties
The total DFT energy (no corrections) is -174.716 eV per cell. Its mass density is 5.1 Mg/m³. As for the energy relative to the elements, uncorrected: -0.69 eV per atom. For the magnetization, the calculation gives 0.0 μB/f.u. As for the space-group type: No. 123.


Material: LaTc2AuBr
Method: DFT, meta-GGA SCAN
State: single point on PBEsol structure Values from VASP.

Quantum ESPRESSO input file:
```
&SYSTEM
  ibrav = 0, nat = 5, ntyp = 4
/
ATOMIC_SPECIES
La 138.91 La.upf
Tc 98.00 Tc.upf
Au 196.97 Au.upf
Br 79.90 Br.upf
CELL_PARAMETERS angstrom
4.886 0.000 0.000
0.000 4.886 0.000
0.000 0.000 5.749
ATOMIC_POSITIONS crystal
La 0.000 0.000 0.000
Tc 0.000 0.500 0.500
Tc 0.500 0.000 0.500
Au 0.000 0.000 0.500
Br 0.500 0.500 0.000
```

## Properties
The total DFT energy (no corrections) is -197.577 eV per cell. Its mass density is 7.4 Mg/m³. As for the energy relative to the elements, uncorrected: 0.85 eV per atom. For the magnetization, the calculation gives 5.4 μB/f.u. As for the space-group type: No. 123.


Material: LiAuBr
Method: DFT, meta-GGA SCAN
State: single point on PBEsol structure Values from VASP.

Quantum ESPRESSO input file:
```
&SYSTEM
  ibrav = 0, nat = 3, ntyp = 3
/
ATOMIC_SPECIES
Li 6.94 Li.upf
Au 196.97 Au.upf
Br 79.90 Br.upf
CELL_PARAMETERS angstrom
0.000 3.112 3.112
3.112 0.000 3.112
3.112 3.112 0.000
ATOMIC_POSITIONS crystal
Li 0.000 0.000 0.000
Au 0.250 0.250 0.250
Br 0.750 0.750 0.750
```

## Properties
The total DFT energy (no corrections) is -92.040 eV per cell. Its distance to the lowest polymorph of the same formula is 0.000 eV/atom. Its mass density is 7.8 Mg/m³. As for the energy relative to the elements, uncorrected: -0.34 eV per atom. For the magnetization, the calculation gives 0.0 μB/f.u. As for the space-group type: No. 216.


Material: Li3AuBr
Method: DFT, meta-GGA SCAN
State: single point on PBEsol structure Values from VASP.

Quantum ESPRESSO input file:
```
&SYSTEM
  ibrav = 0, nat = 5, ntyp = 3
/
ATOMIC_SPECIES
Li 6.94 Li.upf
Au 196.97 Au.upf
Br 79.90 Br.upf
CELL_PARAMETERS angstrom
4.684 0.000 0.000
0.000 4.684 0.000
0.000 0.000 4.684
ATOMIC_POSITIONS crystal
Li 0.000 0.000 0.500
Li 0.000 0.500 0.000
Li 0.500 0.000 0.000
Au 0.500 0.500 0.500
Br 0.000 0.000 0.000
```

## Properties
The total DFT energy (no corrections) is -98.652 eV per cell. Its mass density is 4.8 Mg/m³. As for the energy relative to the elements, uncorrected: -0.57 eV per atom. For the magnetization, the calculation gives 0.0 μB/f.u. As for the space-group type: No. 221.


Material: LiRhAu2Br
Method: DFT, meta-GGA SCAN
State: single point on PBEsol structure Values from VASP.

Quantum ESPRESSO input file:
```
&SYSTEM
  ibrav = 0, nat = 5, ntyp = 4
/
ATOMIC_SPECIES
Li 6.94 Li.upf
Rh 102.91 Rh.upf
Au 196.97 Au.upf
Br 79.90 Br.upf
CELL_PARAMETERS angstrom
4.937 0.000 0.000
0.000 4.937 0.000
0.000 0.000 4.175
ATOMIC_POSITIONS crystal
Li 0.000 0.000 0.000
Rh 0.500 0.500 0.000
Au 0.000 0.500 0.500
Au 0.500 0.000 0.500
Br 0.000 0.000 0.500
```

## Properties
The total DFT energy (no corrections) is -189.740 eV per cell. Its mass density is 9.5 Mg/m³. As for the energy relative to the elements, uncorrected: 0.84 eV per atom. For the magnetization, the calculation gives 0.3 μB/f.u. As for the space-group type: No. 123.


Material: LiAuSe2Br
Method: DFT, meta-GGA SCAN
State: single point on PBEsol structure Values from VASP.

Quantum ESPRESSO input file:
```
&SYSTEM
  ibrav = 0, nat = 5, ntyp = 4
/
ATOMIC_SPECIES
Li 6.94 Li.upf
Au 196.97 Au.upf
Se 78.96 Se.upf
Br 79.90 Br.upf
CELL_PARAMETERS angstrom
4.648 0.000 0.000
0.000 4.648 0.000
0.000 0.000 4.689
ATOMIC_POSITIONS crystal
Li 0.000 0.000 0.000
Au 0.500 0.500 0.500
Se 0.000 0.500 0.000
Se 0.500 0.000 0.000
Br 0.000 0.000 0.500
```

## Properties
The total DFT energy (no corrections) is -129.037 eV per cell. Its mass density is 7.2 Mg/m³. As for the energy relative to the elements, uncorrected: 0.43 eV per atom. For the magnetization, the calculation gives 0.0 μB/f.u. As for the space-group type: No. 123.


Material: LiAuSeBr2
Method: DFT, meta-GGA SCAN
State: single point on PBEsol structure Values from VASP.

Quantum ESPRESSO input file:
```
&SYSTEM
  ibrav = 0, nat = 5, ntyp = 4
/
ATOMIC_SPECIES
Li 6.94 Li.upf
Au 196.97 Au.upf
Se 78.96 Se.upf
Br 79.90 Br.upf
CELL_PARAMETERS angstrom
5.279 0.000 0.000
0.000 5.279 0.000
0.000 0.000 5.024
ATOMIC_POSITIONS crystal
Li 0.000 0.000 0.000
Au 0.500 0.500 0.500
Se 0.500 0.500 0.000
Br 0.000 0.500 0.500
Br 0.500 0.000 0.500
```

## Properties
The total DFT energy (no corrections) is -131.720 eV per cell. Its mass density is 5.2 Mg/m³. As for the energy relative to the elements, uncorrected: -0.24 eV per atom. For the magnetization, the calculation gives 0.6 μB/f.u. As for the space-group type: No. 123.


Material: MgAuSeBr2
Method: DFT, meta-GGA SCAN
State: single point on PBEsol structure Values from VASP.

Quantum ESPRESSO input file:
```
&SYSTEM
  ibrav = 0, nat = 5, ntyp = 4
/
ATOMIC_SPECIES
Mg 24.30 Mg.upf
Au 196.97 Au.upf
Se 78.96 Se.upf
Br 79.90 Br.upf
CELL_PARAMETERS angstrom
5.094 0.000 0.000
0.000 5.094 0.000
0.000 0.000 5.204
ATOMIC_POSITIONS crystal
Mg 0.000 0.000 0.000
Au 0.500 0.500 0.500
Se 0.500 0.500 0.000
Br 0.000 0.500 0.500
Br 0.500 0.000 0.500
```

## Properties
The total DFT energy (no corrections) is -133.415 eV per cell. Its mass density is 5.7 Mg/m³. As for the energy relative to the elements, uncorrected: -0.06 eV per atom. For the magnetization, the calculation gives 0.0 μB/f.u. As for the space-group type: No. 123.


Material: MnAuBr
Method: DFT, meta-GGA SCAN
State: single point on PBEsol structure Values from VASP.

Quantum ESPRESSO input file:
```
&SYSTEM
  ibrav = 0, nat = 3, ntyp = 3
/
ATOMIC_SPECIES
Mn 54.94 Mn.upf
Au 196.97 Au.upf
Br 79.90 Br.upf
CELL_PARAMETERS angstrom
0.000 3.198 3.198
3.198 0.000 3.198
3.198 3.198 0.000
ATOMIC_POSITIONS crystal
Mn 0.000 0.000 0.000
Au 0.750 0.750 0.750
Br 0.250 0.250 0.250
```

## Properties
The total DFT energy (no corrections) is -107.359 eV per cell. Its distance to the lowest polymorph of the same formula is 0.000 eV/atom. Its mass density is 8.4 Mg/m³. As for the energy relative to the elements, uncorrected: -0.16 eV per atom. For the magnetization, the calculation gives 5.0 μB/f.u. As for the space-group type: No. 216.


Material: NaMn2AuBr
Method: DFT, meta-GGA SCAN
State: single point on PBEsol structure Values from VASP.

Quantum ESPRESSO input file:
```
&SYSTEM
  ibrav = 0, nat = 5, ntyp = 4
/
ATOMIC_SPECIES
Na 22.99 Na.upf
Mn 54.94 Mn.upf
Au 196.97 Au.upf
Br 79.90 Br.upf
CELL_PARAMETERS angstrom
5.184 0.000 0.000
0.000 5.184 0.000
0.000 0.000 4.830
ATOMIC_POSITIONS crystal
Na 0.000 0.000 0.000
Mn 0.000 0.500 0.000
Mn 0.500 0.000 0.000
Au 0.000 0.000 0.500
Br 0.500 0.500 0.500
```

## Properties
The total DFT energy (no corrections) is -125.161 eV per cell. Its mass density is 5.2 Mg/m³. As for the energy relative to the elements, uncorrected: 0.84 eV per atom. For the magnetization, the calculation gives 10.6 μB/f.u. As for the space-group type: No. 123.


- What is the magnetization in the first record?
  0.0 μB/f.u.


Repeat the eleventh record exactly.
Material: MnAuBr
Method: DFT, meta-GGA SCAN
State: single point on PBEsol structure Values from VASP.

Quantum ESPRESSO input file:
```
&SYSTEM
  ibrav = 0, nat = 3, ntyp = 3
/
ATOMIC_SPECIES
Mn 54.94 Mn.upf
Au 196.97 Au.upf
Br 79.90 Br.upf
CELL_PARAMETERS angstrom
0.000 3.198 3.198
3.198 0.000 3.198
3.198 3.198 0.000
ATOMIC_POSITIONS crystal
Mn 0.000 0.000 0.000
Au 0.750 0.750 0.750
Br 0.250 0.250 0.250
```

## Properties
The total DFT energy (no corrections) is -107.359 eV per cell. Its distance to the lowest polymorph of the same formula is 0.000 eV/atom. Its mass density is 8.4 Mg/m³. As for the energy relative to the elements, uncorrected: -0.16 eV per atom. For the magnetization, the calculation gives 5.0 μB/f.u. As for the space-group type: No. 216.